DFT (GGA-PBE) results for PPtWS2 after structural relaxation.

Unit cell a=4.651 b=4.651 c=4.598 alpha=90.00 beta=90.00 gamma=90.00
Element x y z (fractional)
W (0.500, 0.500, 0.500)
Pt (0.000, 0.000, 0.000)
S (0.500, 0.000, 0.000)
S (0.000, 0.500, 0.000)
P (0.000, 0.000, 0.500)

Results
Total DFT energy (no corrections): -5.247 eV/atom
Total magnetization: 2.160 μB/f.u.
Space-group type: P4/mmm (123)
E_form (uncorrected): 1.285 eV/atom
ΔE to the lowest computed polymorph: 2.79 eV per formula unit

DFT (GGA-PBE) results for P2PtWS after structural relaxation.

Unit cell a=4.553 b=4.553 c=4.614 alpha=90.00 beta=90.00 gamma=90.00
Element x y z (fractional)
P (0.000, 0.500, 0.000)
P (0.500, 0.000, 0.000)
S (0.000, 0.000, 0.500)
W (0.500, 0.500, 0.500)
Pt (0.000, 0.000, 0.000)

Results
Total DFT energy (no corrections): -5.392 eV/atom
Total magnetization: 0.000 μB/f.u.
Space-group type: P4/mmm (123)
E_form (uncorrected): 1.396 eV/atom
ΔE to the lowest computed polymorph: 3.06 eV per formula unit

DFT (GGA-PBE) results for P2PtWS after structural relaxation.

Unit cell a=4.731 b=4.731 c=4.484 alpha=90.00 beta=90.00 gamma=90.00
Element x y z (fractional)
P (0.500, 0.000, 0.000)
P (0.000, 0.500, 0.000)
Pt (0.500, 0.500, 0.500)
S (0.000, 0.000, 0.500)
W (0.000, 0.000, 0.000)

Results
Total DFT energy (no corrections): -6.004 eV/atom
Total magnetization: 0.000 μB/f.u.
Space-group type: P4/mmm (123)
E_form (uncorrected): 0.784 eV/atom
ΔE to the lowest computed polymorph: 0.00 eV per formula unit

DFT (GGA-PBE) results for YPPtS2 after structural relaxation.

Unit cell a=5.086 b=5.086 c=5.363 alpha=90.00 beta=90.00 gamma=90.00
Element x y z (fractional)
Y (0.000, 0.000, 0.000)
S (0.000, 0.500, 0.000)
S (0.500, 0.000, 0.000)
P (0.000, 0.000, 0.500)
Pt (0.500, 0.500, 0.500)

Results
Total DFT energy (no corrections): -4.560 eV/atom
Total magnetization: 0.000 μB/f.u.
Space-group type: P4/mmm (123)
E_form (uncorrected): 0.674 eV/atom
ΔE to the lowest computed polymorph: 5.06 eV per formula unit

DFT (GGA-PBE) results for YPPtS2 after structural relaxation.

Unit cell a=4.839 b=4.839 c=4.534 alpha=90.00 beta=90.00 gamma=90.00
Element x y z (fractional)
Pt (0.000, 0.000, 0.000)
P (0.000, 0.000, 0.500)
Y (0.500, 0.500, 0.500)
S (0.000, 0.500, 0.000)
S (0.500, 0.000, 0.000)

Results
Total DFT energy (no corrections): -5.573 eV/atom
Total magnetization: 0.000 μB/f.u.
Space-group type: P4/mmm (123)
E_form (uncorrected): -0.339 eV/atom
ΔE to the lowest computed polymorph: 0.00 eV per formula unit

DFT (GGA-PBE) results for Y6P2PtS3 after structural relaxation.

Unit cell a=3.965 b=8.029 c=8.946 alpha=103.17 beta=102.80 gamma=90.00
Element x y z (fractional)
P (0.167, 0.334, 0.333)
P (0.833, 0.666, 0.667)
Y (0.668, 0.090, 0.336)
Y (0.331, 0.421, 0.661)
Y (0.001, 0.252, 0.002)
Y (0.332, 0.910, 0.664)
Y (0.669, 0.579, 0.339)
Y (0.999, 0.748, 0.998)
S (0.500, 0.500, 0.000)
S (0.832, 0.168, 0.663)
S (0.168, 0.832, 0.337)
Pt (0.500, 0.000, 0.000)

Results
Total DFT energy (no corrections): -7.420 eV/atom
Total magnetization: 0.000 μB/f.u.
Space-group type: C2/m (12)
E_form (uncorrected): -1.751 eV/atom

DFT (GGA-PBE) results for ZnP2PtS after structural relaxation.

Unit cell a=4.581 b=4.581 c=5.147 alpha=90.00 beta=90.00 gamma=90.00
Element x y z (fractional)
P (0.000, 0.500, 0.000)
P (0.500, 0.000, 0.000)
Pt (0.000, 0.000, 0.000)
S (0.000, 0.000, 0.500)
Zn (0.500, 0.500, 0.500)

Results
Total DFT energy (no corrections): -3.724 eV/atom
Total magnetization: 0.000 μB/f.u.
Space-group type: P4/mmm (123)
E_form (uncorrected): 0.729 eV/atom
ΔE to the lowest computed polymorph: 0.00 eV per formula unit

DFT (GGA-PBE) results for ZnP2PtS after structural relaxation.

Unit cell a=4.480 b=4.841 c=4.480 alpha=90.00 beta=90.00 gamma=90.00
Element x y z (fractional)
P (0.500, 0.000, 0.000)
P (0.000, 0.000, 0.500)
Pt (0.000, 0.500, 0.000)
S (0.500, 0.500, 0.500)
Zn (0.000, 0.000, 0.000)

Results
Total DFT energy (no corrections): -3.269 eV/atom
Total magnetization: 0.000 μB/f.u.
Space-group type: P4/mmm (123)
E_form (uncorrected): 1.184 eV/atom
ΔE to the lowest computed polymorph: 2.28 eV per formula unit

DFT (GGA-PBE) results for ZrPPtS2 after structural relaxation.

Unit cell a=4.854 b=4.854 c=5.136 alpha=90.00 beta=90.00 gamma=90.00
Element x y z (fractional)
P (0.000, 0.000, 0.500)
S (0.000, 0.500, 0.000)
S (0.500, 0.000, 0.000)
Zr (0.000, 0.000, 0.000)
Pt (0.500, 0.500, 0.500)

Results
Total DFT energy (no corrections): -5.192 eV/atom
Total magnetization: 0.000 μB/f.u.
Space-group type: P4/mmm (123)
E_form (uncorrected): 0.459 eV/atom
ΔE to the lowest computed polymorph: 1.42 eV per formula unit

DFT (GGA-PBE) results for ZrPPtS2 after structural relaxation.

Unit cell a=4.645 b=4.645 c=4.665 alpha=90.00 beta=90.00 gamma=90.00
Element x y z (fractional)
S (0.500, 0.000, 0.000)
S (0.000, 0.500, 0.000)
Zr (0.500, 0.500, 0.500)
Pt (0.000, 0.000, 0.000)
P (0.000, 0.000, 0.500)

Results
Total DFT energy (no corrections): -5.476 eV/atom
Total magnetization: 0.000 μB/f.u.
Space-group type: P4/mmm (123)
E_form (uncorrected): 0.175 eV/atom
ΔE to the lowest computed polymorph: 0.00 eV per formula unit

DFT (GGA-PBE) results for SbP2Pt after structural relaxation.

Unit cell a=3.742 b=4.474 c=4.717 alpha=75.37 beta=90.00 gamma=90.00
Element x y z (fractional)
P (0.000, 0.522, 0.407)
P (0.000, 0.978, 0.093)
Sb (0.500, 0.750, 0.750)
Pt (0.500, 0.250, 0.250)

Results
Total DFT energy (no corrections): -5.464 eV/atom
Total magnetization: 0.000 μB/f.u.
Space-group type: P2/m (10)
E_form (uncorrected): -0.218 eV/atom

DFT (GGA-PBE) results for SbP2Pt after structural relaxation.

Unit cell a=6.426 b=6.426 c=6.426 alpha=33.81 beta=33.81 gamma=33.81
Element x y z (fractional)
Sb (0.750, 0.750, 0.750)
Pt (0.250, 0.250, 0.250)
P (0.513, 0.513, 0.513)
P (0.987, 0.987, 0.987)

Results
Total DFT energy (no corrections): -5.326 eV/atom
Total magnetization: 0.000 μB/f.u.
Space-group type: R-3m (166)
E_form (uncorrected): -0.080 eV/atom

DFT (GGA-PBE) results for Sb2PPt after structural relaxation.

Unit cell a=6.214 b=6.214 c=6.214 alpha=145.68 beta=137.07 gamma=56.08
Element x y z (fractional)
P (0.587, 0.587, 0.000)
Sb (0.934, 0.934, 0.000)
Sb (0.238, 0.738, 0.500)
Pt (0.740, 0.240, 0.500)

Results
Total DFT energy (no corrections): -4.844 eV/atom
Total magnetization: 0.000 μB/f.u.
Space-group type: Imm2 (44)
E_form (uncorrected): 0.080 eV/atom

DFT (GGA-PBE) results for SbPPt2 after structural relaxation.

Unit cell a=4.543 b=4.543 c=3.728 alpha=90.00 beta=90.00 gamma=105.49
Element x y z (fractional)
Pt (0.214, 0.786, 0.000)
Pt (0.786, 0.214, 0.000)
P (0.000, 0.000, 0.500)
Sb (0.500, 0.500, 0.500)

Results
Total DFT energy (no corrections): -5.585 eV/atom
Total magnetization: 0.000 μB/f.u.
Space-group type: Cmmm (65)
E_form (uncorrected): -0.182 eV/atom
ΔE to the lowest computed polymorph: 0.87 eV per formula unit

DFT (GGA-PBE) results for Sb2PPt after structural relaxation.

Unit cell a=3.944 b=3.944 c=5.502 alpha=90.00 beta=90.00 gamma=90.00
Element x y z (fractional)
Sb (0.500, 0.500, 0.500)
Sb (0.000, 0.000, 0.000)
Pt (0.000, 0.000, 0.500)
P (0.500, 0.500, 0.000)

Results
Total DFT energy (no corrections): -5.062 eV/atom
Total magnetization: 0.000 μB/f.u.
Space-group type: P4/mmm (123)
E_form (uncorrected): -0.138 eV/atom

DFT (GGA-PBE) results for SbPPt2 after structural relaxation.

Unit cell a=3.710 b=4.423 c=5.248 alpha=80.45 beta=90.00 gamma=90.00
Element x y z (fractional)
Pt (0.500, 0.667, 0.150)
Pt (0.000, 0.043, 0.813)
Sb (0.000, 0.598, 0.513)
P (0.500, 0.193, 0.024)

Results
Total DFT energy (no corrections): -5.802 eV/atom
Total magnetization: 0.000 μB/f.u.
Space-group type: Pm (6)
E_form (uncorrected): -0.398 eV/atom
ΔE to the lowest computed polymorph: 0.00 eV per formula unit

DFT (GGA-PBE) results for SbPPt2 after structural relaxation.

Unit cell a=4.848 b=4.848 c=7.912 alpha=72.16 beta=72.16 gamma=90.00
Element x y z (fractional)
Sb (0.000, 0.000, 0.000)
Sb (0.750, 0.250, 0.500)
Pt (0.875, 0.795, 0.750)
Pt (0.545, 0.125, 0.250)
Pt (0.205, 0.625, 0.250)
Pt (0.375, 0.455, 0.750)
P (0.500, 0.500, 0.000)
P (0.250, 0.750, 0.500)

Results
Total DFT energy (no corrections): -5.775 eV/atom
Total magnetization: 0.000 μB/f.u.
Space-group type: I-42d (122)
E_form (uncorrected): -0.371 eV/atom
ΔE to the lowest computed polymorph: 0.11 eV per formula unit

DFT (GGA-PBE) results for SbPPt2 after structural relaxation.

Unit cell a=4.443 b=4.443 c=3.539 alpha=90.00 beta=90.00 gamma=90.00
Element x y z (fractional)
Pt (0.000, 0.500, 0.000)
Pt (0.500, 0.000, 0.000)
Sb (0.500, 0.500, 0.500)
P (0.000, 0.000, 0.500)

Results
Total DFT energy (no corrections): -5.335 eV/atom
Total magnetization: 0.000 μB/f.u.
Space-group type: P4/mmm (123)
E_form (uncorrected): 0.069 eV/atom
ΔE to the lowest computed polymorph: 1.87 eV per formula unit

DFT (GGA-PBE) results for SbP2Pt after structural relaxation.

Unit cell a=6.543 b=6.543 c=6.543 alpha=145.90 beta=149.94 gamma=46.09
Element x y z (fractional)
Sb (0.326, 0.826, 0.500)
P (0.652, 0.152, 0.500)
P (0.024, 0.024, 0.000)
Pt (0.498, 0.498, 0.000)

Results
Total DFT energy (no corrections): -5.154 eV/atom
Total magnetization: 0.000 μB/f.u.
Space-group type: Imm2 (44)
E_form (uncorrected): 0.092 eV/atom

DFT (GGA-PBE) results for SbPPt2 after structural relaxation.

Unit cell a=5.142 b=5.142 c=5.142 alpha=140.36 beta=122.64 gamma=71.97
Element x y z (fractional)
P (0.500, 0.000, 0.500)
Pt (0.288, 0.288, 0.000)
Pt (0.712, 0.712, 0.000)
Sb (0.000, 0.500, 0.500)

Results
Total DFT energy (no corrections): -5.290 eV/atom
Total magnetization: 0.000 μB/f.u.
Space-group type: Immm (71)
E_form (uncorrected): 0.114 eV/atom
ΔE to the lowest computed polymorph: 2.05 eV per formula unit

DFT (GGA-PBE) results for Sb2PPt after structural relaxation.

Unit cell a=6.083 b=6.083 c=6.083 alpha=141.95 beta=141.95 gamma=54.90
Element x y z (fractional)
Sb (0.250, 0.750, 0.500)
Sb (0.000, 0.000, 0.000)
Pt (0.750, 0.250, 0.500)
P (0.500, 0.500, 0.000)

Results
Total DFT energy (no corrections): -4.594 eV/atom
Total magnetization: 0.000 μB/f.u.
Space-group type: I-4m2 (119)
E_form (uncorrected): 0.330 eV/atom

DFT (GGA-PBE) results for SbPPt2 after structural relaxation.

Unit cell a=3.158 b=3.158 c=7.030 alpha=90.00 beta=90.00 gamma=90.00
Element x y z (fractional)
Pt (0.000, 0.000, 0.702)
Pt (0.000, 0.000, 0.298)
P (0.500, 0.500, 0.500)
Sb (0.500, 0.500, 0.000)

Results
Total DFT energy (no corrections): -5.417 eV/atom
Total magnetization: 0.000 μB/f.u.
Space-group type: P4/mmm (123)
E_form (uncorrected): -0.014 eV/atom
ΔE to the lowest computed polymorph: 1.54 eV per formula unit

DFT (GGA-PBE) results for SbP2Pt6 after structural relaxation.

Unit cell a=7.260 b=8.046 c=8.046 alpha=57.99 beta=58.35 gamma=58.35
Element x y z (fractional)
P (0.855, 0.740, 0.719)
P (0.645, 0.281, 0.260)
P (0.355, 0.719, 0.740)
P (0.145, 0.260, 0.281)
Pt (0.183, 0.798, 0.034)
Pt (0.752, 0.573, 0.630)
Pt (0.748, 0.370, 0.427)
Pt (0.683, 0.034, 0.798)
Pt (0.619, 0.628, 0.060)
Pt (0.119, 0.060, 0.628)
Pt (0.881, 0.940, 0.372)
Pt (0.252, 0.630, 0.573)
Pt (0.248, 0.427, 0.370)
Pt (0.317, 0.966, 0.202)
Pt (0.817, 0.202, 0.966)
Pt (0.381, 0.372, 0.940)
Sb (0.250, 0.214, 0.786)
Sb (0.750, 0.786, 0.214)

Results
Total DFT energy (no corrections): -6.017 eV/atom
Total magnetization: 0.000 μB/f.u.
Space-group type: C2/c (15)
E_form (uncorrected): -0.329 eV/atom

DFT (GGA-PBE) results for Sb4P3Pt7 after structural relaxation.

Unit cell a=8.034 b=8.034 c=11.595 alpha=54.10 beta=54.10 gamma=28.32
Element x y z (fractional)
Pt (0.013, 0.013, 0.659)
Pt (0.500, 0.500, 0.500)
Pt (0.401, 0.401, 0.889)
Pt (0.072, 0.072, 0.845)
Pt (0.928, 0.928, 0.155)
Pt (0.987, 0.987, 0.341)
Pt (0.599, 0.599, 0.111)
Sb (0.788, 0.788, 0.083)
Sb (0.212, 0.212, 0.917)
Sb (0.650, 0.650, 0.639)
Sb (0.350, 0.350, 0.361)
P (0.883, 0.883, 0.611)
P (0.117, 0.117, 0.389)
P (0.500, 0.500, 0.000)

Results
Total DFT energy (no corrections): -5.586 eV/atom
Total magnetization: 0.000 μB/f.u.
Space-group type: C2/m (12)
E_form (uncorrected): -0.228 eV/atom

DFT (GGA-PBE) results for Sb2PPt after structural relaxation.

Unit cell a=3.513 b=3.513 c=7.226 alpha=90.00 beta=90.00 gamma=90.00
Element x y z (fractional)
P (0.000, 0.000, 0.523)
Sb (0.500, 0.500, 0.336)
Sb (0.000, 0.000, 0.913)
Pt (0.500, 0.500, 0.728)

Results
Total DFT energy (no corrections): -4.828 eV/atom
Total magnetization: 0.000 μB/f.u.
Space-group type: P4mm (99)
E_form (uncorrected): 0.096 eV/atom

DFT (GGA-PBE) results for SbP2Pt after structural relaxation.

Unit cell a=3.880 b=3.880 c=6.316 alpha=89.97 beta=89.97 gamma=59.94
Element x y z (fractional)
Pt (0.459, 0.459, 0.464)
P (0.126, 0.126, 0.320)
P (0.125, 0.125, 0.983)
Sb (0.791, 0.791, 0.733)

Results
Total DFT energy (no corrections): -5.359 eV/atom
Total magnetization: 0.000 μB/f.u.
Space-group type: P3m1 (156)
E_form (uncorrected): -0.114 eV/atom

DFT (GGA-PBE) results for SbPPt2 after structural relaxation.

Unit cell a=6.430 b=6.430 c=6.430 alpha=33.87 beta=33.87 gamma=33.87
Element x y z (fractional)
Pt (0.732, 0.732, 0.732)
Pt (0.268, 0.268, 0.268)
Sb (0.500, 0.500, 0.500)
P (0.000, 0.000, 0.000)

Results
Total DFT energy (no corrections): -5.663 eV/atom
Total magnetization: 0.000 μB/f.u.
Space-group type: R-3m (166)
E_form (uncorrected): -0.260 eV/atom
ΔE to the lowest computed polymorph: 0.55 eV per formula unit

DFT (GGA-PBE) results for SbP2Pt after structural relaxation.

Unit cell a=5.356 b=5.356 c=5.328 alpha=66.56 beta=66.56 gamma=33.44
Element x y z (fractional)
Sb (0.750, 0.750, 0.750)
Pt (0.250, 0.250, 0.250)
P (0.964, 0.964, 0.125)
P (0.536, 0.536, 0.375)

Results
Total DFT energy (no corrections): -5.081 eV/atom
Total magnetization: 0.000 μB/f.u.
Space-group type: C2/m (12)
E_form (uncorrected): 0.165 eV/atom